Version w
# NaLi4Mg | Alexandria | PBE-GGA | optimized geometry
data_NaLi4Mg
_chemical_formula_sum 'Na4 Li16 Mg4'
_space_group_name_H-M_alt 'C m c m'
_space_group_IT_number 63
_space_group_name_Hall '-C 2c 2'
_cell_length_a 3.2899
_cell_length_b 21.5494
_cell_length_c 7.7170
_cell_angle_alpha 90.00
_cell_angle_beta 90.00
_cell_angle_gamma 90.00
loop_
_atom_site_label
_atom_site_type_symbol
_atom_site_fract_x
_atom_site_fract_y
_atom_site_fract_z
Na1 Na 0.0000 0.2441 0.2500
Li1 Li 0.0000 0.0000 0.0000
Li2 Li 0.0000 0.1437 0.5373
Li3 Li 0.0000 0.4367 0.2500
Mg1 Mg 0.0000 0.4182 0.7500
# Total magnetic moment = 0.000 μB/cell

=====

Version x
# NaLi4Mg | Alexandria | PBE-GGA | optimized geometry
data_NaLi4Mg
_chemical_formula_sum 'Na4 Li16 Mg4'
_space_group_name_H-M_alt 'F -4 3 m'
_space_group_IT_number 216
_space_group_name_Hall 'F -4 2 3'
_cell_length_a 8.1895
_cell_length_b 8.1895
_cell_length_c 8.1895
_cell_angle_alpha 90.00
_cell_angle_beta 90.00
_cell_angle_gamma 90.00
loop_
_atom_site_label
_atom_site_type_symbol
_atom_site_fract_x
_atom_site_fract_y
_atom_site_fract_z
Na1 Na 0.0000 0.0000 0.0000
Li1 Li 0.1238 0.1238 0.6238
Mg1 Mg 0.2500 0.2500 0.2500
# Total magnetic moment = 0.000 μB/cell

=====

Stability verdict: version w, ahead by 35 meV per atom

=====

Version w
# NaLi6Mg2 | Alexandria | PBE-GGA | optimized geometry
data_NaLi6Mg2
_chemical_formula_sum 'Na2 Li12 Mg4'
_space_group_name_H-M_alt 'I m m m'
_space_group_IT_number 71
_space_group_name_Hall '-I 2 2'
_cell_length_a 3.0063
_cell_length_b 8.6543
_cell_length_c 15.2719
_cell_angle_alpha 90.00
_cell_angle_beta 90.00
_cell_angle_gamma 90.00
loop_
_atom_site_label
_atom_site_type_symbol
_atom_site_fract_x
_atom_site_fract_y
_atom_site_fract_z
Na1 Na 0.0000 0.0000 0.0000
Li1 Li 0.0000 0.1605 0.5000
Li2 Li 0.0000 0.3217 0.3266
Mg1 Mg 0.0000 0.5000 0.1545
# Total magnetic moment = 0.000 μB/cell

=====

Version x
# NaLi6Mg2 | Alexandria | PBE-GGA | optimized geometry
data_NaLi6Mg2
_chemical_formula_sum 'Na2 Li12 Mg4'
_space_group_name_H-M_alt 'I 4/m m m'
_space_group_IT_number 139
_space_group_name_Hall '-I 4 2'
_cell_length_a 3.8486
_cell_length_b 3.8486
_cell_length_c 30.4218
_cell_angle_alpha 90.00
_cell_angle_beta 90.00
_cell_angle_gamma 90.00
loop_
_atom_site_label
_atom_site_type_symbol
_atom_site_fract_x
_atom_site_fract_y
_atom_site_fract_z
Na1 Na 0.0000 0.0000 0.0000
Li1 Li 0.0000 0.5000 0.0935
Li2 Li 0.0000 0.5000 0.2500
Mg1 Mg 0.0000 0.0000 0.3287
# Total magnetic moment = 0.000 μB/cell

=====

Stability verdict: version w, ahead by 148 meV per atom